Record 1
VASP calculation (GGA-PBE) on an optimized crystal structure of LaTb2Ho3.

abc: 3.479 9.847 13.166
angles: 118.24 90.00 90.00
Atoms (fractional coordinates):
La (0.250, 0.655, 0.372)
La (0.750, 0.345, 0.628)
Tb (0.250, 0.355, 0.878)
Tb (0.750, 0.645, 0.122)
Tb (0.750, 0.982, 0.379)
Tb (0.250, 0.018, 0.621)
Ho (0.750, 0.025, 0.128)
Ho (0.250, 0.975, 0.872)
Ho (0.750, 0.673, 0.880)
Ho (0.250, 0.327, 0.120)
Ho (0.250, 0.303, 0.379)
Ho (0.750, 0.697, 0.621)

Output
DOS(E_F) (states/eV/cell): 21.0
ΔH_f (0 K) (eV/atom): 0.16
Total magnetization (μB/f.u.): 0.00
Symmetry: P2_1/m



Record 2
VASP calculation (GGA-PBE) on an optimized crystal structure of EuSnCl2.

abc: 5.200 5.200 5.537
angles: 61.99 61.99 60.00
Atoms (fractional coordinates):
Eu (0.000, 0.000, 0.000)
Sn (0.500, 0.500, 0.500)
Cl (0.215, 0.215, 0.355)
Cl (0.785, 0.785, 0.645)

Output
ΔE_f (raw) (eV/atom): -1.04
DOS(E_F) (states/eV/cell): 11.1
Total magnetization (μB/f.u.): 6.98
Symmetry: R-3m



Record 3
VASP calculation (GGA-PBE) on an optimized crystal structure of Mg3TlF.

abc: 4.610 4.610 4.610
angles: 90.00 90.00 90.00
Atoms (fractional coordinates):
Tl (0.500, 0.500, 0.500)
Mg (0.000, 0.500, 0.000)
Mg (0.000, 0.000, 0.500)
Mg (0.500, 0.000, 0.000)
F (0.000, 0.000, 0.000)

Output
ΔE_f (raw) (eV/atom): -0.78
DOS(E_F) (states/eV/cell): 1.8
Total magnetization (μB/f.u.): 0.00
Symmetry: Pm-3m



Record 4
VASP calculation (GGA-PBE) on an optimized crystal structure of ScGeF.

abc: 4.387 3.112 7.043
angles: 90.00 99.62 90.00
Atoms (fractional coordinates):
Sc (0.750, 0.500, 0.778)
Sc (0.250, 0.500, 0.222)
Ge (0.741, 0.000, 0.400)
Ge (0.259, 0.000, 0.600)
F (0.000, 0.000, 0.000)
F (0.500, 0.500, 0.000)

Output
ΔE_f (raw) (eV/atom): -1.83
DOS(E_F) (states/eV/cell): 1.6
Total magnetization (μB/f.u.): 0.00
Symmetry: P2/m



Record 5
VASP calculation (GGA-PBE) on an optimized crystal structure of TmThTc.

abc: 4.175 7.614 13.957
angles: 88.97 90.00 90.00
Atoms (fractional coordinates):
Tm (0.250, 0.994, 0.091)
Tm (0.250, 0.843, 0.466)
Tm (0.750, 0.634, 0.802)
Tm (0.750, 0.157, 0.534)
Tm (0.250, 0.366, 0.198)
Tm (0.750, 0.006, 0.909)
Th (0.750, 0.521, 0.372)
Th (0.250, 0.985, 0.706)
Th (0.750, 0.015, 0.294)
Th (0.750, 0.647, 0.077)
Th (0.250, 0.479, 0.628)
Th (0.250, 0.353, 0.923)
Tc (0.250, 0.743, 0.930)
Tc (0.750, 0.262, 0.740)
Tc (0.750, 0.749, 0.597)
Tc (0.750, 0.257, 0.070)
Tc (0.250, 0.251, 0.403)
Tc (0.250, 0.738, 0.260)

Output
DOS(E_F) (states/eV/cell): 14.3
ΔH_f (0 K) (eV/atom): -0.12
Total magnetization (μB/f.u.): 0.00
Symmetry: P2_1/m



Record 6
VASP calculation (GGA-PBE) on an optimized crystal structure of CaBiRh2.

abc: 7.491 7.491 6.176
angles: 52.66 52.66 90.00
Atoms (fractional coordinates):
Ca (0.500, 0.500, 0.000)
Ca (0.250, 0.750, 0.500)
Rh (0.652, 0.125, 0.250)
Rh (0.098, 0.625, 0.250)
Rh (0.375, 0.348, 0.750)
Rh (0.875, 0.902, 0.750)
Bi (0.000, 0.000, 0.000)
Bi (0.750, 0.250, 0.500)

Output
DOS(E_F) (states/eV/cell): 4.1
ΔH_f (0 K) (eV/atom): 0.06
Total magnetization (μB/f.u.): 0.00
Symmetry: I-42d



Record 7
VASP calculation (GGA-PBE) on an optimized crystal structure of AgAs2Br.

abc: 6.690 6.690 4.282
angles: 96.80 96.80 31.88
Atoms (fractional coordinates):
As (0.035, 0.035, 0.110)
As (0.465, 0.465, 0.390)
Br (0.750, 0.750, 0.750)
Ag (0.250, 0.250, 0.250)

Output
ΔE_f (raw) (eV/atom): 0.04
DOS(E_F) (states/eV/cell): 2.5
Total magnetization (μB/f.u.): 0.00
Symmetry: C2/m



Record 8
VASP calculation (GGA-PBE) on an optimized crystal structure of Mg3CrN.

abc: 4.351 4.351 4.351
angles: 90.00 90.00 90.00
Atoms (fractional coordinates):
Cr (0.500, 0.500, 0.500)
Mg (0.000, 0.500, 0.000)
Mg (0.000, 0.000, 0.500)
Mg (0.500, 0.000, 0.000)
N (0.000, 0.000, 0.000)

Output
ΔE_f (raw) (eV/atom): 0.07
DOS(E_F) (states/eV/cell): 6.0
Total magnetization (μB/f.u.): 4.55
Symmetry: Pm-3m



Record 9
VASP calculation (GGA-PBE) on an optimized crystal structure of LaRhS2Cl.

abc: 4.764 4.764 4.611
angles: 90.00 90.00 90.00
Atoms (fractional coordinates):
S (0.000, 0.500, 0.000)
S (0.500, 0.000, 0.000)
Cl (0.000, 0.000, 0.500)
Rh (0.000, 0.000, 0.000)
La (0.500, 0.500, 0.500)

Output
ΔE_f (raw) (eV/atom): -1.05
DOS(E_F) (states/eV/cell): 0.7
Total magnetization (μB/f.u.): 0.00
Symmetry: P4/mmm



Record 10
VASP calculation (GGA-PBE) on an optimized crystal structure of In2TeBr.

abc: 5.508 5.508 5.508
angles: 60.00 60.00 60.00
Atoms (fractional coordinates):
Te (0.750, 0.750, 0.750)
Br (0.500, 0.500, 0.500)
In (0.000, 0.000, 0.000)
In (0.250, 0.250, 0.250)

Output
ΔE_f (raw) (eV/atom): -0.11
DOS(E_F) (states/eV/cell): 1.3
Total magnetization (μB/f.u.): 0.00
Symmetry: F-43m



Record 11
VASP calculation (GGA-PBE) on an optimized crystal structure of BaPm4Cd5.

abc: 3.889 3.889 19.734
angles: 90.00 90.00 90.00
Atoms (fractional coordinates):
Ba (0.000, 0.000, 0.000)
Pm (0.000, 0.000, 0.215)
Pm (0.000, 0.000, 0.405)
Pm (0.000, 0.000, 0.595)
Pm (0.000, 0.000, 0.785)
Cd (0.500, 0.500, 0.123)
Cd (0.500, 0.500, 0.309)
Cd (0.500, 0.500, 0.500)
Cd (0.500, 0.500, 0.691)
Cd (0.500, 0.500, 0.877)

Output
DOS(E_F) (states/eV/cell): 11.6
ΔH_f (0 K) (eV/atom): -0.31
Total magnetization (μB/f.u.): 0.63
Symmetry: P4/mmm



Record 12
VASP calculation (GGA-PBE) on an optimized crystal structure of Zr2CuHPt.

abc: 4.425 4.425 3.786
angles: 90.00 90.00 90.00
Atoms (fractional coordinates):
H (0.000, 0.000, 0.000)
Cu (0.000, 0.000, 0.500)
Zr (0.000, 0.500, 0.000)
Zr (0.500, 0.000, 0.000)
Pt (0.500, 0.500, 0.500)

Output
Uncorrected energy (eV/atom): -6.627
DOS(E_F) (states/eV/cell): 4.0
Total magnetization (μB/f.u.): 0.00
Symmetry: P4/mmm